No. 1
Entry from Alexandria via LeMat-Bulk: a PBEsol-optimized structure of Ta2TeRh (SCAN).

Calculated values
E_form (uncorrected) ... -0.0394 eV per atom
DFT total energy ... -1.877 hartree per atom
Theoretical density ... 14.1 Mg/m³

Structure (CIF):
```
data_Ta2TeRh
_chemical_formula_sum 'Ta4 Te2 Rh2'
_symmetry_space_group_name_H-M 'C 1 m 1'
_symmetry_Int_Tables_number 8
_cell_length_a 9.5310
_cell_length_b 3.2250
_cell_length_c 4.8359
_cell_angle_alpha 90.00
_cell_angle_beta 109.64
_cell_angle_gamma 90.00
loop_
_symmetry_equiv_pos_as_xyz
'x,y,z'
'x,-y,z'
'x+1/2,y+1/2,z'
'x+1/2,-y+1/2,z'
loop_
_atom_site_label
_atom_site_type_symbol
_atom_site_fract_x
_atom_site_fract_y
_atom_site_fract_z
_atom_site_occupancy
Ta1 Ta 0.0000 0.0000 0.0000 1
Ta2 Ta 0.2230 0.0000 0.6681 1
Te1 Te 0.4689 0.0000 0.4777 1
Rh1 Rh 0.2297 0.5000 0.1465 1
```

***

No. 2
Entry from Alexandria via LeMat-Bulk: a PBEsol-optimized structure of SrScIn (SCAN).

Calculated values
DFT total energy ... -0.857 hartree per atom
Energy relative to the elements ... -30 meV per atom
Theoretical density ... 4.6 Mg/m³

Structure (CIF):
```
data_SrScIn
_chemical_formula_sum 'Sr1 Sc1 In1'
_symmetry_space_group_name_H-M 'P 3 m 1'
_symmetry_Int_Tables_number 156
_cell_length_a 3.6028
_cell_length_b 3.6028
_cell_length_c 7.9954
_cell_angle_alpha 90.00
_cell_angle_beta 90.00
_cell_angle_gamma 120.00
loop_
_symmetry_equiv_pos_as_xyz
'x,y,z'
'-y,x-y,z'
'-x+y,-x,z'
'-y,-x,z'
'-x+y,y,z'
'x,x-y,z'
loop_
_atom_site_label
_atom_site_type_symbol
_atom_site_fract_x
_atom_site_fract_y
_atom_site_fract_z
_atom_site_occupancy
Sr1 Sr 0.0000 0.0000 0.0000 1
Sc1 Sc 0.6667 0.3333 0.3884 1
In1 In 0.3333 0.6667 0.6648 1
```

***

No. 3
Entry from Alexandria via LeMat-Bulk: a PBEsol-optimized structure of Mg2MnP2O8 (SCAN).

Calculated values
E_form (uncorrected) ... -2.7379 eV per atom
DFT total energy ... -0.380 hartree per atom
Theoretical density ... 3.0 Mg/m³

Structure (CIF):
```
data_Mg2MnP2O8
_chemical_formula_sum 'Mg4 Mn2 P4 O16'
_symmetry_space_group_name_H-M 'P 1 21/c 1'
_symmetry_Int_Tables_number 14
_cell_length_a 5.1111
_cell_length_b 8.4031
_cell_length_c 8.9562
_cell_angle_alpha 90.00
_cell_angle_beta 120.86
_cell_angle_gamma 90.00
loop_
_symmetry_equiv_pos_as_xyz
'x,y,z'
'-x,-y,-z'
'-x,y+1/2,-z+1/2'
'x,-y+1/2,z+1/2'
loop_
_atom_site_label
_atom_site_type_symbol
_atom_site_fract_x
_atom_site_fract_y
_atom_site_fract_z
_atom_site_occupancy
Mg1 Mg 0.0147 0.1420 0.1078 1
Mn1 Mn 0.0000 0.0000 0.5000 1
P1 P 0.3295 0.6974 0.7972 1
O1 O 0.1710 0.6370 0.2370 1
O2 O 0.1808 0.5776 0.6439 1
O3 O 0.2652 0.6503 0.9425 1
O4 O 0.3269 0.2047 0.6343 1
```

***

No. 4
Entry from Alexandria via LeMat-Bulk: a PBEsol-optimized structure of CsScCl3 (SCAN).

Calculated values
E_form (uncorrected) ... -2.1678 eV per atom
DFT total energy ... -0.638 hartree per atom
Theoretical density ... 3.6 Mg/m³

Structure (CIF):
```
data_CsScCl3
_chemical_formula_sum 'Cs1 Sc1 Cl3'
_symmetry_space_group_name_H-M 'P m -3 m'
_symmetry_Int_Tables_number 221
_symmetry_space_group_name_Hall '-P 4 2 3'
_cell_length_a 5.0660
_cell_length_b 5.0660
_cell_length_c 5.0660
_cell_angle_alpha 90.00
_cell_angle_beta 90.00
_cell_angle_gamma 90.00
loop_
_atom_site_label
_atom_site_type_symbol
_atom_site_fract_x
_atom_site_fract_y
_atom_site_fract_z
_atom_site_occupancy
Cs1 Cs 0.0000 0.0000 0.0000 1
Sc1 Sc 0.5000 0.5000 0.5000 1
Cl1 Cl 0.0000 0.5000 0.5000 1
```

***

No. 5
Entry from Alexandria via LeMat-Bulk: a PBEsol-optimized structure of Rb5Nb3OF18 (SCAN).

Calculated values
E_form (uncorrected) ... -3.2238 eV per atom
DFT total energy ... -0.490 hartree per atom
Theoretical density ... 3.8 Mg/m³

Structure (CIF):
```
data_Rb5Nb3OF18
_chemical_formula_sum 'Rb20 Nb12 O4 F72'
_symmetry_space_group_name_H-M 'I 4 c m'
_symmetry_Int_Tables_number 108
_symmetry_space_group_name_Hall 'I 4 -2c'
_cell_length_a 15.3971
_cell_length_b 15.3971
_cell_length_c 7.8583
_cell_angle_alpha 90.00
_cell_angle_beta 90.00
_cell_angle_gamma 90.00
loop_
_atom_site_label
_atom_site_type_symbol
_atom_site_fract_x
_atom_site_fract_y
_atom_site_fract_z
_atom_site_occupancy
Rb1 Rb 0.0000 0.5000 0.0000 1
Rb2 Rb 0.0827 0.2216 0.2184 1
Nb1 Nb 0.0000 0.0000 0.4917 1
Nb2 Nb 0.1559 0.3441 0.7623 1
O1 O 0.0000 0.0000 0.2611 1
F1 F 0.0272 0.3607 0.7464 1
F2 F 0.0456 0.1174 0.5206 1
F3 F 0.1079 0.2300 0.8306 1
F4 F 0.1356 0.3644 0.0076 1
F5 F 0.1440 0.3560 0.5153 1
F6 F 0.2414 0.2586 0.6782 1
```

***

No. 6
Entry from Alexandria via LeMat-Bulk: a PBEsol-optimized structure of BeInS2N (SCAN).

Calculated values
E_form (uncorrected) ... 0.3103 eV per atom
DFT total energy ... -0.476 hartree per atom
Theoretical density ... 4.7 Mg/m³

Structure (CIF):
```
data_BeInS2N
_chemical_formula_sum 'Be1 In1 S2 N1'
_symmetry_space_group_name_H-M 'P 4/m m m'
_symmetry_Int_Tables_number 123
_symmetry_space_group_name_Hall '-P 4 2'
_cell_length_a 4.6741
_cell_length_b 4.6741
_cell_length_c 3.2554
_cell_angle_alpha 90.00
_cell_angle_beta 90.00
_cell_angle_gamma 90.00
loop_
_atom_site_label
_atom_site_type_symbol
_atom_site_fract_x
_atom_site_fract_y
_atom_site_fract_z
_atom_site_occupancy
Be1 Be 0.0000 0.0000 0.0000 1
In1 In 0.5000 0.5000 0.5000 1
S1 S 0.0000 0.5000 0.0000 1
N1 N 0.0000 0.0000 0.5000 1
```

***

No. 7
Entry from Alexandria via LeMat-Bulk: a PBEsol-optimized structure of Al2SiTe (SCAN).

Calculated values
E_form (uncorrected) ... 0.0596 eV per atom
DFT total energy ... -0.575 hartree per atom
Theoretical density ... 4.3 Mg/m³

Structure (CIF):
```
data_Al2SiTe
_chemical_formula_sum 'Al6 Si3 Te3'
_symmetry_space_group_name_H-M 'R -3 m'
_symmetry_Int_Tables_number 166
_symmetry_space_group_name_Hall '-R 3 2"'
_cell_length_a 3.8818
_cell_length_b 3.8818
_cell_length_c 18.7791
_cell_angle_alpha 90.00
_cell_angle_beta 90.00
_cell_angle_gamma 120.00
loop_
_atom_site_label
_atom_site_type_symbol
_atom_site_fract_x
_atom_site_fract_y
_atom_site_fract_z
_atom_site_occupancy
Al1 Al 0.0000 0.0000 0.2347 1
Si1 Si 0.0000 0.0000 0.5000 1
Te1 Te 0.0000 0.0000 0.0000 1
```

***

No. 8
Entry from Alexandria via LeMat-Bulk: a PBEsol-optimized structure of MgAgTe (SCAN).

Calculated values
E_form (uncorrected) ... -0.1361 eV per atom
DFT total energy ... -0.906 hartree per atom
Theoretical density ... 6.4 Mg/m³

Structure (CIF):
```
data_MgAgTe
_chemical_formula_sum 'Mg2 Ag2 Te2'
_symmetry_space_group_name_H-M 'I 4 m m'
_symmetry_Int_Tables_number 107
_symmetry_space_group_name_Hall 'I 4 -2'
_cell_length_a 3.9194
_cell_length_b 3.9194
_cell_length_c 8.7280
_cell_angle_alpha 90.00
_cell_angle_beta 90.00
_cell_angle_gamma 90.00
loop_
_atom_site_label
_atom_site_type_symbol
_atom_site_fract_x
_atom_site_fract_y
_atom_site_fract_z
_atom_site_occupancy
Mg1 Mg 0.0000 0.0000 0.0000 1
Ag1 Ag 0.0000 0.0000 0.6735 1
Te1 Te 0.0000 0.0000 0.3454 1
```

***

No. 9
Entry from Alexandria via LeMat-Bulk: a PBEsol-optimized structure of BaSc2Cu2 (SCAN).

Calculated values
DFT total energy ... -0.722 hartree per atom
Energy relative to the elements ... 49 meV per atom
Theoretical density ... 5.1 Mg/m³

Structure (CIF):
```
data_BaSc2Cu2
_chemical_formula_sum 'Ba2 Sc4 Cu4'
_symmetry_space_group_name_H-M 'I 4/m m m'
_symmetry_Int_Tables_number 139
_symmetry_space_group_name_Hall '-I 4 2'
_cell_length_a 4.6095
_cell_length_b 4.6095
_cell_length_c 10.8596
_cell_angle_alpha 90.00
_cell_angle_beta 90.00
_cell_angle_gamma 90.00
loop_
_atom_site_label
_atom_site_type_symbol
_atom_site_fract_x
_atom_site_fract_y
_atom_site_fract_z
_atom_site_occupancy
Ba1 Ba 0.0000 0.0000 0.0000 1
Sc1 Sc 0.0000 0.5000 0.2500 1
Cu1 Cu 0.0000 0.0000 0.3856 1
```

***

No. 10
Entry from Alexandria via LeMat-Bulk: a PBEsol-optimized structure of CeAl2Si2 (SCAN).

Calculated values
E_form (uncorrected) ... -0.3791 eV per atom
DFT total energy ... -0.603 hartree per atom
Theoretical density ... 4.1 Mg/m³

Structure (CIF):
```
data_CeAl2Si2
_chemical_formula_sum 'Ce1 Al2 Si2'
_symmetry_space_group_name_H-M 'P -3 m 1'
_symmetry_Int_Tables_number 164
_symmetry_space_group_name_Hall '-P 3 2"'
_cell_length_a 4.1716
_cell_length_b 4.1716
_cell_length_c 6.7013
_cell_angle_alpha 90.00
_cell_angle_beta 90.00
_cell_angle_gamma 120.00
loop_
_atom_site_label
_atom_site_type_symbol
_atom_site_fract_x
_atom_site_fract_y
_atom_site_fract_z
_atom_site_occupancy
Ce1 Ce 0.0000 0.0000 0.0000 1
Al1 Al 0.3333 0.6667 0.6417 1
Si1 Si 0.3333 0.6667 0.2614 1
```

***

No. 11
Entry from Alexandria via LeMat-Bulk: a PBEsol-optimized structure of Al2CoPb (SCAN).

Calculated values
DFT total energy ... -0.988 hartree per atom
Energy relative to the elements ... 262 meV per atom
Theoretical density ... 7.5 Mg/m³

Structure (CIF):
```
data_Al2CoPb
_chemical_formula_sum 'Al2 Co1 Pb1'
_symmetry_space_group_name_H-M 'P 1 2/m 1'
_symmetry_Int_Tables_number 10
_cell_length_a 3.5161
_cell_length_b 4.1784
_cell_length_c 5.1413
_cell_angle_alpha 90.00
_cell_angle_beta 109.71
_cell_angle_gamma 90.00
loop_
_symmetry_equiv_pos_as_xyz
'x,y,z'
'-x,-y,-z'
'-x,y,-z'
'x,-y,z'
loop_
_atom_site_label
_atom_site_type_symbol
_atom_site_fract_x
_atom_site_fract_y
_atom_site_fract_z
_atom_site_occupancy
Al1 Al 0.1609 0.0000 0.2883 1
Co1 Co 0.5000 0.5000 0.5000 1
Pb1 Pb 0.5000 0.5000 0.0000 1
```

***

No. 12
Entry from Alexandria via LeMat-Bulk: a PBEsol-optimized structure of MnAsPt (SCAN).

Calculated values
DFT total energy ... -1.345 hartree per atom
Energy relative to the elements ... -387 meV per atom
Theoretical density ... 11.8 Mg/m³

Structure (CIF):
```
data_MnAsPt
_chemical_formula_sum 'Mn2 As2 Pt2'
_symmetry_space_group_name_H-M 'I 4 m m'
_symmetry_Int_Tables_number 107
_symmetry_space_group_name_Hall 'I 4 -2'
_cell_length_a 3.4731
_cell_length_b 3.4731
_cell_length_c 7.5536
_cell_angle_alpha 90.00
_cell_angle_beta 90.00
_cell_angle_gamma 90.00
loop_
_atom_site_label
_atom_site_type_symbol
_atom_site_fract_x
_atom_site_fract_y
_atom_site_fract_z
_atom_site_occupancy
Mn1 Mn 0.0000 0.0000 0.0000 1
As1 As 0.0000 0.0000 0.3202 1
Pt1 Pt 0.0000 0.0000 0.6518 1
```

***

No. 13
Entry from Alexandria via LeMat-Bulk: a PBEsol-optimized structure of CoMoAu2N (SCAN).

Calculated values
E_form (uncorrected) ... 0.8465 eV per atom
DFT total energy ... -1.437 hartree per atom
Theoretical density ... 12.0 Mg/m³

Structure (CIF):
```
data_CoMoAu2N
_chemical_formula_sum 'Co1 Mo1 Au2 N1'
_symmetry_space_group_name_H-M 'P 4/m m m'
_symmetry_Int_Tables_number 123
_symmetry_space_group_name_Hall '-P 4 2'
_cell_length_a 4.8745
_cell_length_b 4.8745
_cell_length_c 3.2642
_cell_angle_alpha 90.00
_cell_angle_beta 90.00
_cell_angle_gamma 90.00
loop_
_atom_site_label
_atom_site_type_symbol
_atom_site_fract_x
_atom_site_fract_y
_atom_site_fract_z
_atom_site_occupancy
Co1 Co 0.0000 0.0000 0.0000 1
Mo1 Mo 0.5000 0.5000 0.5000 1
Au1 Au 0.0000 0.5000 0.0000 1
N1 N 0.0000 0.0000 0.5000 1
```